1.
The following is a PBE calculation of an optimized crystal structure of In6HgPb10, from Alexandria.

a b c (Å): 7.042 9.229 9.229
angles (deg): 120.00 90.00 90.00
Atoms (fractional coordinates):
Pb: 0.818 0.000 0.246
Pb: 0.818 0.246 0.000
Pb: 0.182 0.246 0.246
Pb: 0.500 0.333 0.667
Pb: 0.500 0.667 0.333
Pb: 0.000 0.333 0.667
Pb: 0.818 0.754 0.754
Pb: 0.000 0.667 0.333
Pb: 0.182 0.754 0.000
Pb: 0.182 0.000 0.754
In: 0.278 0.399 0.000
In: 0.722 0.000 0.601
In: 0.278 0.601 0.601
In: 0.722 0.601 0.000
In: 0.278 0.000 0.399
In: 0.722 0.399 0.399
Hg: 0.500 0.000 0.000

Summary:
total moment	0.00	μB per cell
total DFT energy (no corrections)	-3.1055	eV/atom
energy of formation	5.81	kJ/mol of atoms

2.
The following is a PBE calculation of an optimized crystal structure of In5Hg2Pb2, from Alexandria.

a b c (Å): 3.237 11.520 8.241
angles (deg): 57.43 90.00 98.08
Atoms (fractional coordinates):
In: 0.226 0.452 0.222
In: 0.059 0.119 0.554
In: 0.774 0.548 0.778
In: 0.000 0.000 0.000
In: 0.941 0.881 0.446
Pb: 0.394 0.788 0.870
Pb: 0.606 0.212 0.130
Hg: 0.170 0.340 0.673
Hg: 0.830 0.660 0.327

Summary:
total moment	0.00	μB per cell
total DFT energy (no corrections)	-2.3794	eV/atom
energy of formation	3.19	kJ/mol of atoms

3.
The following is a PBE calculation of an optimized crystal structure of In3Hg4Pb2, from Alexandria.

a b c (Å): 3.426 3.426 24.923
angles (deg): 90.00 90.00 120.00
Atoms (fractional coordinates):
Pb: 0.667 0.333 0.097
Pb: 0.667 0.333 0.866
Hg: 0.667 0.333 0.222
Hg: 0.000 0.000 0.753
Hg: 0.667 0.333 0.437
Hg: 0.000 0.000 0.540
In: 0.667 0.333 0.648
In: 0.000 0.000 0.330
In: 0.000 0.000 0.982

Summary:
total moment	0.00	μB per cell
total DFT energy (no corrections)	-1.8476	eV/atom
energy of formation	2.26	kJ/mol of atoms

4.
The following is a PBE calculation of an optimized crystal structure of In7Hg3Pb, from Alexandria.

a b c (Å): 4.711 8.616 9.217
angles (deg): 122.34 90.00 82.25
Atoms (fractional coordinates):
In: 0.441 0.173 0.841
In: 0.111 0.835 0.153
In: 0.614 0.825 0.912
In: 0.441 0.173 0.332
In: 0.111 0.835 0.683
In: 0.935 0.197 0.099
In: 0.276 0.463 0.731
Hg: 0.760 0.972 0.486
Hg: 0.801 0.492 0.981
Hg: 0.801 0.492 0.511
Pb: 0.324 0.545 0.272

Summary:
total moment	0.00	μB per cell
total DFT energy (no corrections)	-2.1220	eV/atom
energy of formation	3.87	kJ/mol of atoms

5.
The following is a PBE calculation of an optimized crystal structure of In5Hg4Pb4, from Alexandria.

a b c (Å): 5.354 8.593 8.616
angles (deg): 85.06 73.32 73.00
Atoms (fractional coordinates):
Pb: 0.898 0.489 0.708
Pb: 0.102 0.511 0.292
Pb: 0.388 0.709 0.512
Pb: 0.612 0.291 0.488
In: 0.418 0.260 0.898
In: 0.314 0.102 0.261
In: 0.686 0.898 0.739
In: 0.000 0.000 0.000
In: 0.582 0.740 0.102
Hg: 0.135 0.096 0.641
Hg: 0.865 0.904 0.359
Hg: 0.770 0.360 0.095
Hg: 0.230 0.640 0.905

Summary:
total moment	0.00	μB per cell
total DFT energy (no corrections)	-2.2684	eV/atom
energy of formation	1.81	kJ/mol of atoms

6.
The following is a PBE calculation of an optimized crystal structure of In2HgPb, from Alexandria.

a b c (Å): 3.556 4.367 7.116
angles (deg): 90.00 90.00 90.00
Atoms (fractional coordinates):
Pb: 0.000 0.000 0.504
In: 0.500 0.500 0.240
In: 0.000 0.000 0.992
Hg: 0.500 0.500 0.765

Summary:
total moment	0.00	μB per cell
total DFT energy (no corrections)	-2.3516	eV/atom
energy of formation	1.95	kJ/mol of atoms

7.
The following is a PBE calculation of an optimized crystal structure of In3Hg2Pb8, from Alexandria.

a b c (Å): 6.249 9.019 9.019
angles (deg): 59.36 71.67 71.67
Atoms (fractional coordinates):
Pb: 0.629 0.193 0.574
Pb: 0.958 0.807 0.807
Pb: 0.371 0.807 0.426
Pb: 0.371 0.426 0.807
Pb: 0.131 0.387 0.387
Pb: 0.869 0.613 0.613
Pb: 0.629 0.574 0.193
Pb: 0.042 0.193 0.193
Hg: 0.443 0.804 0.804
Hg: 0.557 0.196 0.196
In: 0.000 0.184 0.816
In: 0.000 0.816 0.184
In: 0.500 0.000 0.000

Summary:
total moment	0.00	μB per cell
total DFT energy (no corrections)	-2.8736	eV/atom
energy of formation	8.38	kJ/mol of atoms

8.
The following is a PBE calculation of an optimized crystal structure of In8Hg4Pb, from Alexandria.

a b c (Å): 7.533 11.543 5.989
angles (deg): 99.70 53.21 120.28
Atoms (fractional coordinates):
Hg: 0.834 0.463 0.844
Hg: 0.635 0.153 0.569
Hg: 0.365 0.847 0.431
Hg: 0.166 0.537 0.156
In: 0.679 0.931 0.727
In: 0.238 0.306 0.208
In: 0.321 0.069 0.273
In: 0.946 0.249 0.887
In: 0.054 0.751 0.113
In: 0.434 0.616 0.495
In: 0.762 0.694 0.792
In: 0.566 0.384 0.505
Pb: 0.000 0.000 0.000

Summary:
total moment	0.00	μB per cell
total DFT energy (no corrections)	-2.0451	eV/atom
energy of formation	1.75	kJ/mol of atoms

9.
The following is a PBE calculation of an optimized crystal structure of In2Hg4Pb, from Alexandria.

a b c (Å): 5.896 5.896 8.577
angles (deg): 69.90 69.90 90.00
Atoms (fractional coordinates):
Hg: 0.000 0.500 0.000
Hg: 0.796 0.796 0.408
Hg: 0.500 0.000 0.000
Hg: 0.204 0.204 0.592
In: 0.600 0.600 0.799
In: 0.400 0.400 0.201
Pb: 0.000 0.000 0.000

Summary:
total moment	0.00	μB per cell
total DFT energy (no corrections)	-1.3072	eV/atom
energy of formation	17.12	kJ/mol of atoms

10.
The following is a PBE calculation of an optimized crystal structure of In12Hg5Pb3, from Alexandria.

a b c (Å): 15.213 15.213 15.213
angles (deg): 109.47 109.47 109.47
Atoms (fractional coordinates):
Hg: 0.500 0.000 0.000
Hg: 0.000 0.500 0.000
Hg: 0.125 0.375 0.250
Hg: 0.375 0.250 0.125
Hg: 0.875 0.250 0.625
Hg: 0.625 0.875 0.250
Hg: 0.875 0.625 0.750
Hg: 0.000 0.500 0.500
Hg: 0.000 0.000 0.500
Hg: 0.000 0.000 0.000
Hg: 0.250 0.375 0.625
Hg: 0.500 0.500 0.000
Hg: 0.375 0.125 0.750
Hg: 0.125 0.750 0.375
Hg: 0.250 0.875 0.125
Hg: 0.625 0.750 0.875
Hg: 0.500 0.000 0.500
Hg: 0.500 0.500 0.500
Hg: 0.750 0.125 0.875
Hg: 0.750 0.625 0.375
In: 0.078 0.911 0.135
In: 0.443 0.776 0.865
In: 0.135 0.411 0.078
In: 0.578 0.635 0.411
In: 0.833 0.922 0.057
In: 0.224 0.667 0.089
In: 0.089 0.922 0.365
In: 0.776 0.333 0.911
In: 0.422 0.057 0.333
In: 0.865 0.589 0.922
In: 0.635 0.057 0.224
In: 0.943 0.365 0.276
In: 0.333 0.776 0.411
In: 0.167 0.078 0.943
In: 0.365 0.422 0.089
In: 0.443 0.667 0.078
In: 0.635 0.578 0.911
In: 0.333 0.557 0.422
In: 0.135 0.724 0.557
In: 0.557 0.333 0.922
In: 0.865 0.276 0.443
In: 0.078 0.167 0.443
In: 0.911 0.833 0.776
In: 0.276 0.411 0.833
In: 0.224 0.557 0.635
In: 0.943 0.578 0.167
In: 0.589 0.865 0.422
In: 0.667 0.224 0.589
In: 0.167 0.089 0.724
In: 0.057 0.635 0.724
In: 0.667 0.443 0.578
In: 0.557 0.224 0.135
In: 0.922 0.833 0.557
In: 0.276 0.865 0.943
In: 0.833 0.911 0.276
In: 0.411 0.135 0.578
In: 0.365 0.943 0.776
In: 0.411 0.276 0.333
In: 0.724 0.135 0.057
In: 0.422 0.365 0.589
In: 0.057 0.422 0.833
In: 0.089 0.167 0.224
In: 0.911 0.078 0.635
In: 0.589 0.724 0.667
In: 0.724 0.589 0.167
In: 0.776 0.443 0.365
In: 0.922 0.089 0.865
In: 0.578 0.943 0.667
Pb: 0.750 0.875 0.625
Pb: 0.125 0.250 0.875
Pb: 0.250 0.625 0.875
Pb: 0.375 0.750 0.625
Pb: 0.125 0.875 0.750
Pb: 0.875 0.750 0.125
Pb: 0.625 0.250 0.375
Pb: 0.375 0.625 0.250
Pb: 0.875 0.125 0.250
Pb: 0.250 0.125 0.375
Pb: 0.625 0.375 0.750
Pb: 0.750 0.375 0.125

Summary:
total moment	0.00	μB per cell
total DFT energy (no corrections)	-2.1487	eV/atom
energy of formation	12.17	kJ/mol of atoms

11.
The following is a PBE calculation of an optimized crystal structure of In4Hg5Pb3, from Alexandria.

a b c (Å): 6.558 6.357 9.814
angles (deg): 102.72 57.03 98.38
Atoms (fractional coordinates):
In: 0.223 0.346 0.851
In: 0.777 0.654 0.149
In: 0.851 0.831 0.822
In: 0.149 0.169 0.178
Hg: 0.000 0.000 0.500
Hg: 0.332 0.847 0.847
Hg: 0.278 0.668 0.160
Hg: 0.668 0.153 0.153
Hg: 0.722 0.332 0.840
Pb: 0.500 0.000 0.500
Pb: 0.743 0.522 0.510
Pb: 0.257 0.478 0.490

Summary:
total moment	0.00	μB per cell
total DFT energy (no corrections)	-1.9363	eV/atom
energy of formation	2.83	kJ/mol of atoms

12.
The following is a PBE calculation of an optimized crystal structure of In8Hg2Pb, from Alexandria.

a b c (Å): 3.783 9.569 9.569
angles (deg): 116.14 90.02 90.02
Atoms (fractional coordinates):
In: 0.999 0.945 0.655
In: 0.001 0.345 0.055
In: 0.001 0.055 0.345
In: 0.500 0.763 0.237
In: 0.499 0.671 0.671
In: 0.999 0.655 0.945
In: 0.501 0.329 0.329
In: 0.500 0.237 0.763
Pb: 0.500 0.000 0.000
Hg: 0.000 0.382 0.618
Hg: 0.000 0.618 0.382

Summary:
total moment	0.00	μB per cell
total DFT energy (no corrections)	-2.3369	eV/atom
energy of formation	4.50	kJ/mol of atoms

13.
The following is a PBE calculation of an optimized crystal structure of InHg5Pb7, from Alexandria.

a b c (Å): 5.861 8.798 9.413
angles (deg): 72.72 68.35 58.94
Atoms (fractional coordinates):
In: 0.067 0.935 0.937
Hg: 0.963 0.278 0.017
Hg: 0.981 0.051 0.460
Hg: 0.737 0.681 0.864
Hg: 0.483 0.965 0.609
Hg: 0.265 0.529 0.006
Pb: 0.427 0.225 0.276
Pb: 0.996 0.726 0.322
Pb: 0.017 0.395 0.619
Pb: 0.711 0.461 0.321
Pb: 0.316 0.659 0.633
Pb: 0.566 0.209 0.787
Pb: 0.471 0.888 0.149

Summary:
total moment	0.00	μB per cell
total DFT energy (no corrections)	-2.2795	eV/atom
energy of formation	4.25	kJ/mol of atoms

14.
The following is a PBE calculation of an optimized crystal structure of In16Hg7Pb6, from Alexandria.

a b c (Å): 10.553 10.553 10.553
angles (deg): 60.00 60.00 60.00
Atoms (fractional coordinates):
In: 0.618 0.145 0.618
In: 0.163 0.163 0.511
In: 0.855 0.382 0.382
In: 0.837 0.489 0.837
In: 0.382 0.382 0.382
In: 0.163 0.163 0.163
In: 0.511 0.163 0.163
In: 0.618 0.618 0.618
In: 0.837 0.837 0.837
In: 0.837 0.837 0.489
In: 0.145 0.618 0.618
In: 0.382 0.855 0.382
In: 0.489 0.837 0.837
In: 0.163 0.511 0.163
In: 0.618 0.618 0.145
In: 0.382 0.382 0.855
Hg: 0.500 0.000 0.500
Hg: 0.000 0.000 0.500
Hg: 0.000 0.500 0.500
Hg: 0.500 0.000 0.000
Hg: 0.000 0.500 0.000
Hg: 0.500 0.500 0.500
Hg: 0.500 0.500 0.000
Pb: 0.165 0.835 0.835
Pb: 0.835 0.165 0.835
Pb: 0.835 0.165 0.165
Pb: 0.165 0.165 0.835
Pb: 0.835 0.835 0.165
Pb: 0.165 0.835 0.165

Summary:
total moment	0.00	μB per cell
total DFT energy (no corrections)	-2.3034	eV/atom
energy of formation	4.58	kJ/mol of atoms

15.
The following is a PBE calculation of an optimized crystal structure of InHg4Pb7, from Alexandria.

a b c (Å): 5.385 5.385 13.887
angles (deg): 90.00 90.00 120.00
Atoms (fractional coordinates):
Pb: 0.000 0.000 0.000
Pb: 0.000 0.000 0.741
Pb: 0.667 0.333 0.587
Pb: 0.667 0.333 0.843
Pb: 0.333 0.667 0.413
Pb: 0.000 0.000 0.259
Pb: 0.333 0.667 0.157
Hg: 0.667 0.333 0.087
Hg: 0.333 0.667 0.913
Hg: 0.333 0.667 0.667
Hg: 0.667 0.333 0.333
In: 0.000 0.000 0.500

Summary:
total moment	0.00	μB per cell
total DFT energy (no corrections)	-2.4688	eV/atom
energy of formation	2.24	kJ/mol of atoms

16.
The following is a PBE calculation of an optimized crystal structure of InHgPb, from Alexandria.

a b c (Å): 3.267 6.605 8.220
angles (deg): 100.88 99.07 89.87
Atoms (fractional coordinates):
Pb: 0.808 0.418 0.671
Pb: 0.192 0.582 0.329
Hg: 0.465 0.077 0.329
Hg: 0.535 0.923 0.671
In: 0.491 0.252 0.003
In: 0.509 0.748 0.997

Summary:
total moment	0.00	μB per cell
total DFT energy (no corrections)	-2.2260	eV/atom
energy of formation	2.27	kJ/mol of atoms

17.
The following is a PBE calculation of an optimized crystal structure of In4Hg5Pb, from Alexandria.

a b c (Å): 3.334 3.336 23.942
angles (deg): 90.00 90.11 90.00
Atoms (fractional coordinates):
Hg: 0.501 0.500 0.698
Hg: 0.500 0.500 0.106
Hg: 0.500 0.500 0.894
Hg: 0.499 0.500 0.302
Hg: 0.500 0.500 0.500
In: 0.001 0.000 0.400
In: 0.001 0.000 0.797
In: 0.999 0.000 0.203
In: 0.999 0.000 0.600
Pb: 0.000 0.000 0.000

Summary:
total moment	0.00	μB per cell
total DFT energy (no corrections)	-1.6100	eV/atom
energy of formation	0.69	kJ/mol of atoms

18.
The following is a PBE calculation of an optimized crystal structure of InHg2Pb, from Alexandria.

a b c (Å): 5.768 3.293 5.880
angles (deg): 88.70 90.00 90.00
Atoms (fractional coordinates):
In: 0.500 0.250 0.250
Pb: 0.500 0.750 0.750
Hg: 0.000 0.075 0.998
Hg: 0.000 0.425 0.502

Summary:
total moment	0.00	μB per cell
total DFT energy (no corrections)	-1.7367	eV/atom
energy of formation	2.50	kJ/mol of atoms